A relaxed structure of SrMg2Zn, computed with PBE.

Magnetization   0.000 μB/cell
E_tot   -1.585 eV/atom
Density   3.0 g/cm³
E_form   -0.049 eV/atom
SG   Pm, No. 6
Crystal system   monoclinic

POSCAR file:
```
SrMg2Zn
1.0
3.679 0.000 0.000
0.000 4.584 0.000
-1.836 0.000 6.524
Sr Mg Zn
1 2 1
Cartesian
0.000 0.000 0.000
0.006 2.292 4.116
1.844 0.000 3.061
1.835 2.292 1.533
```

A relaxed structure of Sr2MgZr, computed with PBE.

Magnetization   2.285 μB/cell
E_tot   -2.959 eV/atom
Density   3.5 g/cm³
E_form   0.418 eV/atom
SG   Cmmm, No. 65
Crystal system   orthorhombic

POSCAR file:
```
Sr2MgZr
1.0
7.314 0.000 0.000
0.000 10.514 0.000
0.000 0.000 3.565
Sr Mg Zr
4 2 2
Cartesian
1.829 2.629 0.000
1.829 7.886 0.000
5.486 2.629 0.000
5.486 7.886 0.000
0.000 0.000 1.782
3.657 5.257 1.782
0.000 5.257 1.782
3.657 0.000 1.782
```

A relaxed structure of Sr2MgZr, computed with PBE.

Magnetization   0.150 μB/cell
E_tot   -2.909 eV/atom
Density   3.6 g/cm³
E_form   0.468 eV/atom
SG   Immm, No. 71
Crystal system   orthorhombic

POSCAR file:
```
Sr2MgZr
1.0
4.132 0.000 0.000
0.000 5.619 0.000
0.000 0.000 11.448
Sr Mg Zr
4 2 2
Cartesian
0.000 0.000 2.763
0.000 0.000 8.685
2.066 2.809 2.961
2.066 2.809 8.487
0.000 2.809 5.724
2.066 0.000 0.000
0.000 2.809 0.000
2.066 0.000 5.724
```

A relaxed structure of SrMg2Zr, computed with PBE.

Magnetization   0.000 μB/cell
E_tot   -3.074 eV/atom
Density   3.4 g/cm³
E_form   0.281 eV/atom
SG   Pmm2, No. 25
Crystal system   orthorhombic

POSCAR file:
```
SrMg2Zr
1.0
3.341 0.000 0.000
0.000 4.807 0.000
0.000 0.000 6.990
Sr Mg Zr
1 2 1
Cartesian
0.000 0.000 0.000
0.000 0.000 3.418
1.671 2.404 5.097
1.671 2.404 2.094
```

A relaxed structure of Sr2MgZr, computed with PBE.

Magnetization   0.002 μB/cell
E_tot   -2.964 eV/atom
Density   3.5 g/cm³
E_form   0.412 eV/atom
SG   R-3m, No. 166
Crystal system   trigonal

POSCAR file:
```
Sr2MgZr
1.0
3.624 0.000 0.000
-1.812 3.139 0.000
0.000 0.000 35.874
Sr Mg Zr
6 3 3
Cartesian
0.000 0.000 8.868
0.000 0.000 27.006
0.000 2.092 15.048
0.000 2.092 32.784
1.812 1.046 3.090
1.812 1.046 20.826
0.000 0.000 0.000
0.000 2.092 23.916
1.812 1.046 11.958
0.000 0.000 17.937
0.000 2.092 5.979
1.812 1.046 29.895
```

A relaxed structure of SrMg14Zr, computed with PBE.

Magnetization   0.000 μB/cell
E_tot   -1.977 eV/atom
Density   2.2 g/cm³
E_form   0.058 eV/atom
SG   P-6m2, No. 187
Crystal system   hexagonal

POSCAR file:
```
SrMg14Zr
1.0
6.607 0.000 0.000
-3.304 5.722 0.000
0.000 0.000 10.379
Sr Mg Zr
1 14 1
Cartesian
0.000 0.000 0.000
-1.586 2.899 0.000
0.000 1.934 2.738
0.000 1.934 7.641
-1.629 4.755 2.738
-1.629 4.755 7.641
1.586 2.899 0.000
0.000 5.646 0.000
3.304 0.009 5.190
1.660 2.856 5.190
1.629 4.755 2.738
1.629 4.755 7.641
3.304 1.907 2.537
3.304 1.907 7.842
4.947 2.856 5.190
0.000 0.000 5.190
```

A relaxed structure of SrMg2Zr, computed with PBE.

Magnetization   3.430 μB/cell
E_tot   -2.987 eV/atom
Density   3.4 g/cm³
E_form   0.367 eV/atom
SG   I-4m2, No. 119
Crystal system   tetragonal

POSCAR file:
```
SrMg2Zr
1.0
4.778 0.000 0.000
0.000 4.778 0.000
0.000 0.000 9.816
Sr Mg Zr
2 4 2
Cartesian
0.000 0.000 0.000
2.389 2.389 4.908
0.000 0.000 4.908
0.000 2.389 2.454
2.389 0.000 7.362
2.389 2.389 0.000
0.000 2.389 7.362
2.389 0.000 2.454
```

A relaxed structure of Sr2MgZr, computed with PBE.

Magnetization   5.429 μB/cell
E_tot   -2.920 eV/atom
Density   3.5 g/cm³
E_form   0.456 eV/atom
SG   I4/mmm, No. 139
Crystal system   tetragonal

POSCAR file:
```
Sr2MgZr
1.0
5.175 0.000 0.000
0.000 5.175 0.000
0.000 0.000 10.430
Sr Mg Zr
4 2 2
Cartesian
0.000 2.587 2.608
0.000 2.587 7.823
2.587 0.000 2.608
2.587 0.000 7.823
0.000 0.000 0.000
2.587 2.587 5.215
0.000 0.000 5.215
2.587 2.587 0.000
```